Computed, not measured: a relaxed Ca2PmPr crystal at the PBE level of DFT.

Properties
* excess energy over the best structure of this formula in the dataset: 167 meV per atom
* calculated formation energy: 0.20 eV/atom

CIF file:
```
data_Ca2PmPr
_symmetry_space_group_name_H-M 'P 1'
_symmetry_Int_Tables_number 1
_cell_length_a 3.623
_cell_length_b 3.623
_cell_length_c 13.571
_cell_angle_alpha 82.33
_cell_angle_beta 82.33
_cell_angle_gamma 60.00
loop_
_symmetry_equiv_pos_as_xyz
'x,y,z'
loop_
_atom_site_label
_atom_site_fract_x
_atom_site_fract_y
_atom_site_fract_z
_atom_site_occupancy
Ca1 0.088 0.088 0.737 1
Pr1 0.500 0.500 0.500 1
Ca2 0.912 0.912 0.263 1
Pm1 0.000 0.000 0.000 1
```